Below is an optimized crystal structure of HgIrRh2, with properties calculated at the PBE level.

Cell: 9.2912 9.2912 9.2912 Å, 17.51 17.51 17.51°
Closest atoms and distances in Å follow each position.
Fractional positions:
1 Hg 0.0000 0.0000 0.0000  6 Hg 2.83, 3 Rh 2.91, 3 Ir 2.97
2 Ir 0.7572 0.7572 0.7572  3 Rh 2.67, 6 Ir 2.83, 3 Hg 2.97
3 Rh 0.2455 0.2455 0.2455  9 Rh 2.69-2.83, 3 Hg 2.91
4 Rh 0.5010 0.5010 0.5010  3 Ir 2.67, 9 Rh 2.69-2.83

Summary:
* total energy: -5.70 eV per atom
* calculated formation energy: 0.269 eV/atom
* calculated density: 15.69 g/cm3

Below is an optimized crystal structure of HgIr2Rh, with properties calculated at the PBE level.

Cell: 2.8010 3.8587 5.9389 Å, 90.00 90.00 90.00°
Closest atoms and distances in Å follow each position.
Fractional positions:
1 Hg 0.0000 0.0000 0.0000  2 Hg 2.80, 8 Ir 2.90, 2 Rh 2.97
2 Ir 0.5000 0.5000 0.2776  3 Ir 2.64-2.80, 4 Rh 2.73, 4 Hg 2.90
3 Ir 0.5000 0.5000 0.7224  3 Ir 2.64-2.80, 4 Rh 2.73, 4 Hg 2.90
4 Rh 0.0000 0.0000 0.5000  8 Ir 2.73, 2 Rh 2.80, 2 Hg 2.97

Summary:
* total energy: -5.96 eV per atom
* calculated formation energy: 0.380 eV/atom
* calculated density: 17.80 g/cm3